KLiBe2: optimized geometry, PBE.

Cell: 5.576 5.576 2.634 Å, 90.00 90.00 90.00°
Positions (direct):
Be (0.500, 0.500, 0.000)
Be (0.000, 0.000, 0.000)
Li (0.000, 0.500, 0.500)
K (0.500, 0.000, 0.500)

## Properties
Calculated formation energy: 1047 meV per atom
Density of states at the Fermi level: 0.61 states/eV per atom
Raw total energy: -1.5690 eV per atom